(1)
Density functional theory data (SCAN) for a PBEsol-optimized structure of Sr2Sc.

Output
space group	P6_3/mmc, No. 194
E above lowest polymorph	24	kJ/mol of formula units
uncorrected energy	-115.03	eV per cell
total moment	0.519	μB/f.u.
E_form	0.4244	eV/atom

The structure in POSCAR format:
```
Sr2Sc
1.0
6.083 0.000 0.000
-3.041 5.268 0.000
0.000 0.000 7.307
Sr Sc
4 2
direct
0.333 0.667 0.750
0.000 0.000 0.000
0.667 0.333 0.250
0.000 0.000 0.500
0.333 0.667 0.250
0.667 0.333 0.750
```

=====

(2)
Density functional theory data (SCAN) for a PBEsol-optimized structure of CaOsPt2.

Output
space group	Fm-3m, No. 225
E above lowest polymorph	131	kJ/mol of formula units
uncorrected energy	-221.19	eV per cell
total moment	1.975	μB/f.u.
E_form	0.1851	eV/atom

The structure in POSCAR format:
```
CaOsPt2
1.0
4.563 0.000 0.000
2.282 3.952 0.000
2.282 1.317 3.726
Pt Ca Os
2 1 1
direct
0.750 0.750 0.750
0.250 0.250 0.250
0.000 0.000 0.000
0.500 0.500 0.500
```

=====

(3)
Density functional theory data (SCAN) for a PBEsol-optimized structure of ZrNiSCl2.

Output
space group	P4/mmm, No. 123
uncorrected formation energy	-8.56	kcal/mol of atoms
uncorrected energy	-74.31	eV per cell
total moment	1.274	μB/f.u.

The structure in POSCAR format:
```
ZrNiSCl2
1.0
4.361 0.000 0.000
0.000 4.361 0.000
0.000 0.000 4.607
Cl Zr Ni S
2 1 1 1
direct
0.500 0.000 0.000
0.000 0.500 0.000
0.500 0.500 0.500
0.000 0.000 0.000
0.000 0.000 0.500
```

=====

(4)
Density functional theory data (SCAN) for a PBEsol-optimized structure of LiVNiO4.

Output
space group	Pnma, No. 62
uncorrected formation energy	-51.12	kcal/mol of atoms
E above lowest polymorph	30	kJ/mol of formula units
uncorrected energy	-305.98	eV per cell
total moment	2.000	μB/f.u.

The structure in POSCAR format:
```
LiVNiO4
1.0
4.790 0.000 0.000
0.000 5.880 0.000
0.000 0.000 10.054
O Li V Ni
16 4 4 4
direct
0.203 0.250 0.938
0.726 0.514 0.330
0.788 0.250 0.596
0.274 0.486 0.670
0.288 0.750 0.904
0.226 0.486 0.170
0.274 0.014 0.670
0.774 0.514 0.830
0.726 0.986 0.330
0.212 0.750 0.404
0.712 0.250 0.096
0.226 0.014 0.170
0.703 0.750 0.562
0.797 0.750 0.062
0.774 0.986 0.830
0.297 0.250 0.438
0.000 0.000 0.500
0.500 0.500 0.000
0.500 0.000 0.000
0.000 0.500 0.500
0.930 0.750 0.904
0.430 0.250 0.596
0.570 0.750 0.404
0.070 0.250 0.096
0.000 0.750 0.235
0.500 0.750 0.735
0.500 0.250 0.265
0.000 0.250 0.765
```

=====

Question: Look up the total moment of the fourth one.
Answer: 2.000 μB/f.u.

=====

Question: What is the uncorrected energy in the fourth record?
Answer: -305.98 eV per cell

=====

Question: Among the records above, which one has the highest total moment?
Answer: LiVNiO4

=====

Question: What is the uncorrected energy in the third record?
Answer: -74.31 eV per cell